MgGa2Ag7 | PBE-GGA | relaxed

The structure in CIF format:
```
data_MgGa2Ag7
_chemical_formula_sum 'Mg2 Ga4 Ag14'
_space_group_name_H-M_alt 'C m m m'
_space_group_IT_number 65
_space_group_name_Hall '-C 2 2'
_cell_length_a 7.5989
_cell_length_b 12.8632
_cell_length_c 4.5888
_cell_angle_alpha 90.00
_cell_angle_beta 90.00
_cell_angle_gamma 90.00
loop_
_atom_site_label
_atom_site_type_symbol
_atom_site_fract_x
_atom_site_fract_y
_atom_site_fract_z
Mg1 Mg 0.0000 0.0000 0.0000
Ga1 Ga 0.0000 0.3019 0.5000
Ag1 Ag 0.0000 0.2123 0.0000
Ag2 Ag 0.0000 0.5000 0.5000
Ag3 Ag 0.1832 0.1137 0.5000
```

Properties
- Magnetic moment: 0.000 μB per formula unit
- Energy: -52.16 eV per cell
- Energy of formation: 0.153 eV/atom